Density functional theory data (meta-GGA SCAN) for Ba3ReRh at its PBEsol-relaxed geometry.

```
data_Ba3ReRh
_space_group_name_H-M_alt 'P m -3 m'
_space_group_IT_number 221
_space_group_name_Hall '-P 4 2 3'
_cell_length_a 5.6261
_cell_length_b 5.6261
_cell_length_c 5.6261
_cell_angle_alpha 90.00
_cell_angle_beta 90.00
_cell_angle_gamma 90.00
loop_
_atom_site_label
_atom_site_fract_x
_atom_site_fract_y
_atom_site_fract_z
Ba1 0.0000 0.0000 0.5000
Re1 0.0000 0.0000 0.0000
Rh1 0.5000 0.5000 0.5000
```

Output
As for the formation energy: 5.47 eV/f.u. The size of the total moment is 0.49 μB per formula unit.



Density functional theory data (meta-GGA SCAN) for BaRe2Rh at its PBEsol-relaxed geometry.

```
data_BaRe2Rh
_space_group_name_H-M_alt 'F m -3 m'
_space_group_IT_number 225
_space_group_name_Hall '-F 4 2 3'
_cell_length_a 6.5414
_cell_length_b 6.5414
_cell_length_c 6.5414
_cell_angle_alpha 90.00
_cell_angle_beta 90.00
_cell_angle_gamma 90.00
loop_
_atom_site_label
_atom_site_fract_x
_atom_site_fract_y
_atom_site_fract_z
Ba1 0.0000 0.0000 0.0000
Re1 0.2500 0.2500 0.2500
Rh1 0.0000 0.0000 0.5000
```

Output
As for the formation energy: 6.82 eV/f.u. The size of the total moment is 0.00 μB per formula unit.



Density functional theory data (meta-GGA SCAN) for Ba2Re2Rh at its PBEsol-relaxed geometry.

```
data_Ba2Re2Rh
_space_group_name_H-M_alt 'I 4/m m m'
_space_group_IT_number 139
_space_group_name_Hall '-I 4 2'
_cell_length_a 3.5324
_cell_length_b 3.5324
_cell_length_c 19.9762
_cell_angle_alpha 90.00
_cell_angle_beta 90.00
_cell_angle_gamma 90.00
loop_
_atom_site_label
_atom_site_fract_x
_atom_site_fract_y
_atom_site_fract_z
Ba1 0.0000 0.0000 0.0971
Re1 0.0000 0.5000 0.2500
Rh1 0.0000 0.0000 0.5000
```

Output
As for the formation energy: 2.78 eV/f.u. The size of the total moment is 0.00 μB per formula unit.



Density functional theory data (meta-GGA SCAN) for Ba2ReRh at its PBEsol-relaxed geometry.

```
data_Ba2ReRh
_space_group_name_H-M_alt 'P 4 m m'
_space_group_IT_number 99
_cell_length_a 3.4296
_cell_length_b 3.4296
_cell_length_c 9.6195
_cell_angle_alpha 90.00
_cell_angle_beta 90.00
_cell_angle_gamma 90.00
loop_
_space_group_symop_operation_xyz
'x,y,z'
'-y,x,z'
'-x,-y,z'
'y,-x,z'
'-x,y,z'
'y,x,z'
'x,-y,z'
'-y,-x,z'
loop_
_atom_site_label
_atom_site_fract_x
_atom_site_fract_y
_atom_site_fract_z
Ba1 0.0000 0.0000 0.0000
Ba2 0.5000 0.5000 0.4139
Re1 0.0000 0.0000 0.6686
Rh1 0.5000 0.5000 0.7528
```

Output
As for the formation energy: 2.17 eV/f.u. The size of the total moment is 0.67 μB per formula unit.



Density functional theory data (meta-GGA SCAN) for Ba2ReRh at its PBEsol-relaxed geometry.

```
data_Ba2ReRh
_space_group_name_H-M_alt 'P m m m'
_space_group_IT_number 47
_cell_length_a 3.4127
_cell_length_b 4.2870
_cell_length_c 6.9358
_cell_angle_alpha 90.00
_cell_angle_beta 90.00
_cell_angle_gamma 90.00
loop_
_space_group_symop_operation_xyz
'x,y,z'
'-x,-y,-z'
'-x,-y,z'
'x,y,-z'
'x,-y,-z'
'-x,y,z'
'-x,y,-z'
'x,-y,z'
loop_
_atom_site_label
_atom_site_fract_x
_atom_site_fract_y
_atom_site_fract_z
Ba1 0.0000 0.0000 0.2415
Re1 0.5000 0.5000 0.5000
Rh1 0.5000 0.5000 0.0000
```

Output
As for the formation energy: 4.44 eV/f.u. The size of the total moment is 2.67 μB per formula unit.



Density functional theory data (meta-GGA SCAN) for BaRe2RhW at its PBEsol-relaxed geometry.

```
data_BaRe2RhW
_space_group_name_H-M_alt 'P 4/m m m'
_space_group_IT_number 123
_space_group_name_Hall '-P 4 2'
_cell_length_a 4.8032
_cell_length_b 4.8032
_cell_length_c 4.8394
_cell_angle_alpha 90.00
_cell_angle_beta 90.00
_cell_angle_gamma 90.00
loop_
_atom_site_label
_atom_site_fract_x
_atom_site_fract_y
_atom_site_fract_z
Ba1 0.0000 0.0000 0.0000
Re1 0.0000 0.5000 0.0000
Rh1 0.5000 0.5000 0.5000
W1 0.0000 0.0000 0.5000
```

Output
As for the formation energy: 21.79 eV/f.u. The size of the total moment is 0.05 μB per formula unit.



Density functional theory data (meta-GGA SCAN) for BaReRu at its PBEsol-relaxed geometry.

```
data_BaReRu
_space_group_name_H-M_alt 'I 4 m m'
_space_group_IT_number 107
_space_group_name_Hall 'I 4 -2'
_cell_length_a 3.1321
_cell_length_b 3.1321
_cell_length_c 12.9483
_cell_angle_alpha 90.00
_cell_angle_beta 90.00
_cell_angle_gamma 90.00
loop_
_atom_site_label
_atom_site_fract_x
_atom_site_fract_y
_atom_site_fract_z
Ba1 0.0000 0.0000 0.0000
Re1 0.0000 0.0000 0.2961
Ru1 0.0000 0.0000 0.7056
```

Output
As for the formation energy: 1.96 eV/f.u. The size of the total moment is 0.00 μB per formula unit.



Density functional theory data (meta-GGA SCAN) for Ba4ReRu at its PBEsol-relaxed geometry.

```
data_Ba4ReRu
_space_group_name_H-M_alt 'F -4 3 m'
_space_group_IT_number 216
_space_group_name_Hall 'F -4 2 3'
_cell_length_a 9.1666
_cell_length_b 9.1666
_cell_length_c 9.1666
_cell_angle_alpha 90.00
_cell_angle_beta 90.00
_cell_angle_gamma 90.00
loop_
_atom_site_label
_atom_site_fract_x
_atom_site_fract_y
_atom_site_fract_z
Ba1 0.1249 0.1249 0.1249
Re1 0.0000 0.0000 0.5000
Ru1 0.2500 0.2500 0.7500
```

Output
As for the formation energy: 11.04 eV/f.u. The size of the total moment is 3.48 μB per formula unit.